Here is an optimized crystal structure of CaTb4SmS8 from Alexandria via LeMat-Bulk. Energies are from PBE.

```
data_CaTb4SmS8
_cell_length_a 8.1337
_cell_length_b 8.1337
_cell_length_c 20.0288
_cell_angle_alpha 90.00
_cell_angle_beta 90.00
_cell_angle_gamma 120.00
_space_group_name_H-M_alt 'R 3 m'
_space_group_IT_number 160
_space_group_name_Hall 'R 3 -2"'
loop_
_atom_site_label
_atom_site_fract_x
_atom_site_fract_y
_atom_site_fract_z
_atom_site_occupancy
Ca1 0.0000 0.0000 0.0000 1
Tb1 0.0000 0.0000 0.7494 1
Tb2 0.0051 0.5026 0.8753 1
Sm1 0.0000 0.0000 0.3728 1
S1 0.0000 0.0000 0.1349 1
S2 0.0000 0.0000 0.6165 1
S3 0.0181 0.5091 0.1287 1
S4 0.1788 0.3576 0.9531 1
```

Values from the calculation:
Total moment: 0.0 μB/f.u.
Energy relative to the elements, uncorrected: -1997 meV/atom